First-principles (GGA+U) data for an optimized crystal structure of FePdF3, as listed in the Alexandria database.

Fermi-level density of states = 1.454 states/eV per atom

a b c (Å): 4.043 4.043 4.043
angles (deg): 90.00 90.00 90.00
Space group Pm-3m (No. 221)
Unique sites:
1 Fe 0.000 0.000 0.000 (multiplicity 1)
2 Pd 0.500 0.500 0.500 (multiplicity 1)
3 F 0.000 0.000 0.500 (multiplicity 3)

***

First-principles (GGA+U) data for an optimized crystal structure of Fe2PdF8, as listed in the Alexandria database.

a b c (Å): 6.6278 6.6278 3.9971
angles (deg): 90.00 90.00 120.00
Space group P-3 (No. 147)
Unique sites:
1 Fe 0.3333 0.6667 0.2416 (multiplicity 2)
2 Pd 0.0000 0.0000 0.0000 (multiplicity 1)
3 F 0.1691 0.8279 0.2544 (multiplicity 6)
4 F 0.3333 0.6667 0.7464 (multiplicity 2)

***

First-principles (GGA+U) data for an optimized crystal structure of FePd3F, as listed in the Alexandria database.

Fermi-level density of states = 1.266 states/eV per atom

a b c (Å): 4.331 4.331 4.331
angles (deg): 90.00 90.00 90.00
Space group Pm-3m (No. 221)
Unique sites:
1 Fe 0.000 0.000 0.000 (multiplicity 1)
2 Pd 0.000 0.500 0.500 (multiplicity 3)
3 F 0.500 0.500 0.500 (multiplicity 1)

***

First-principles (GGA+U) data for an optimized crystal structure of FePdF5, as listed in the Alexandria database.

Fermi-level density of states = 0.431 states/eV per atom

a b c (Å): 3.858 5.342 5.551
angles (deg): 73.37 69.75 68.85
Space group P-1 (No. 2)
Unique sites:
1 Fe 0.000 0.000 0.000 (multiplicity 1)
2 Pd 0.500 0.500 0.500 (multiplicity 1)
3 F 0.035 0.265 0.664 (multiplicity 2)
4 F 0.243 0.696 0.817 (multiplicity 2)
5 F 0.500 0.000 0.000 (multiplicity 1)

***

First-principles (GGA+U) data for an optimized crystal structure of FePd3F, as listed in the Alexandria database.

Fermi-level density of states = 0.185 states/eV per atom

a b c (Å): 4.700 4.700 4.700
angles (deg): 90.00 90.00 90.00
Space group Pm-3m (No. 221)
Unique sites:
1 Fe 0.000 0.000 0.000 (multiplicity 1)
2 Pd 0.000 0.000 0.500 (multiplicity 3)
3 F 0.500 0.500 0.500 (multiplicity 1)

***

First-principles (GGA+U) data for an optimized crystal structure of FePdPt2F, as listed in the Alexandria database.

Fermi-level density of states = 0.465 states/eV per atom

a b c (Å): 4.663 4.663 4.739
angles (deg): 90.00 90.00 90.00
Space group P4/mmm (No. 123)
Unique sites:
1 Fe 0.000 0.000 0.000 (multiplicity 1)
2 Pd 0.000 0.000 0.500 (multiplicity 1)
3 Pt 0.000 0.500 0.000 (multiplicity 2)
4 F 0.500 0.500 0.500 (multiplicity 1)

***

First-principles (GGA+U) data for an optimized crystal structure of FePdSeF2, as listed in the Alexandria database.

Fermi-level density of states = 0.951 states/eV per atom

a b c (Å): 3.925 3.925 5.860
angles (deg): 90.00 90.00 90.00
Space group P4/mmm (No. 123)
Unique sites:
1 Fe 0.000 0.000 0.000 (multiplicity 1)
2 Pd 0.000 0.000 0.500 (multiplicity 1)
3 Se 0.500 0.500 0.000 (multiplicity 1)
4 F 0.000 0.500 0.500 (multiplicity 2)

***

First-principles (GGA+U) data for an optimized crystal structure of TlFePdF6, as listed in the Alexandria database.

a b c (Å): 5.5525 5.5525 5.9142
angles (deg): 90.00 90.00 120.00
Space group P3 (No. 143)
Unique sites:
1 Tl 0.0000 0.0000 0.0000 (multiplicity 1)
2 Fe 0.6667 0.3333 0.5008 (multiplicity 1)
3 Pd 0.3333 0.6667 0.5005 (multiplicity 1)
4 F 0.3861 0.3457 0.3206 (multiplicity 3)
5 F 0.3867 0.0400 0.6818 (multiplicity 3)

***

| no. | calculated density (g cm⁻³) | total magnetic moment (μB per formula unit) | final energy (eV per atom) |
| --- | --- | --- | --- |
| 1 | 5.51 | 5.0 | -4.65 |
| 2 | 4.04 | 12.0 | -4.80 |
| 3 | 8.06 | 4.2 | -4.19 |
| 4 | 4.34 | 6.4 | -4.69 |
| 5 | 6.30 | 5.0 | -3.89 |
| 6 | 9.21 | 5.0 | -3.98 |
| 7 | 5.14 | 4.4 | -3.99 |
| 8 | 5.05 | 1.0 | -4.35 |